[1]
The following is a PBE-GGA calculation of crystalline Ni3Ag4 at its relaxed geometry, from Alexandria.

Properties
* formation energy from the elements: 1.30 eV/f.u.
* N(E_F): 14.246 states/eV/cell
* excess energy over the best structure of this formula in the dataset: 0 meV per atom
* uncorrected energy: -3.9211 eV/atom

Lattice parameters (Å, degrees): 2.812 2.812 26.373 90.00 90.00 90.00
Element x y z (fractional)
Ni: 0.000 0.000 0.000
Ni: 0.000 0.000 0.275
Ni: 0.000 0.000 0.725
Ni: 0.500 0.500 0.225
Ni: 0.500 0.500 0.500
Ni: 0.500 0.500 0.775
Ag: 0.000 0.000 0.153
Ag: 0.000 0.000 0.431
Ag: 0.000 0.000 0.569
Ag: 0.000 0.000 0.847
Ag: 0.500 0.500 0.069
Ag: 0.500 0.500 0.347
Ag: 0.500 0.500 0.653
Ag: 0.500 0.500 0.931

***

[2]
The following is a PBE-GGA calculation of crystalline KI2Cl2 at its relaxed geometry, from Alexandria.

Properties
* N(E_F): 0.000 states/eV/cell
* excess energy over the best structure of this formula in the dataset: 0 meV per atom
* uncorrected energy: -2.1705 eV/atom

Lattice parameters (Å, degrees): 8.948 8.948 4.908 90.00 90.00 90.00
Element x y z (fractional)
K: 0.000 0.000 0.000
K: 0.500 0.500 0.000
I: 0.106 0.394 0.500
I: 0.394 0.894 0.500
I: 0.606 0.106 0.500
I: 0.894 0.606 0.500
Cl: 0.227 0.727 0.000
Cl: 0.273 0.227 0.000
Cl: 0.727 0.773 0.000
Cl: 0.773 0.273 0.000

***

[3]
The following is a PBE-GGA calculation of crystalline LiPmHoTm at its relaxed geometry, from Alexandria.

Properties
* formation energy from the elements: 0.65 eV/f.u.
* N(E_F): 14.221 states/eV/cell
* uncorrected energy: -3.7666 eV/atom

Lattice parameters (Å, degrees): 7.753 7.753 7.753 90.00 90.00 90.00
Element x y z (fractional)
Li: 0.000 0.000 0.000
Li: 0.000 0.500 0.500
Li: 0.500 0.000 0.500
Li: 0.500 0.500 0.000
Pm: 0.250 0.250 0.750
Pm: 0.250 0.750 0.250
Pm: 0.750 0.250 0.250
Pm: 0.750 0.750 0.750
Ho: 0.250 0.250 0.250
Ho: 0.250 0.750 0.750
Ho: 0.750 0.250 0.750
Ho: 0.750 0.750 0.250
Tm: 0.000 0.000 0.500
Tm: 0.000 0.500 0.000
Tm: 0.500 0.000 0.000
Tm: 0.500 0.500 0.500

***

[4]
The following is a PBE-GGA calculation of crystalline CeScGa2 at its relaxed geometry, from Alexandria.

Properties
* formation energy from the elements: -2.21 eV/f.u.
* N(E_F): 3.501 states/eV/cell
* uncorrected energy: -5.1334 eV/atom

Lattice parameters (Å, degrees): 3.268 3.268 7.808 90.00 90.00 90.00
Element x y z (fractional)
Ce: 0.000 0.000 0.000
Sc: 0.000 0.000 0.500
Ga: 0.500 0.500 0.271
Ga: 0.500 0.500 0.729

***

[5]
The following is a PBE-GGA calculation of crystalline Sn5BiPd3 at its relaxed geometry, from Alexandria.

Properties
* formation energy from the elements: -1.79 eV/f.u.
* N(E_F): 8.003 states/eV/cell
* uncorrected energy: -4.5853 eV/atom

Lattice parameters (Å, degrees): 7.529 7.529 9.951 112.07 112.07 73.74
Element x y z (fractional)
Sn: 0.080 0.080 0.347
Sn: 0.125 0.543 0.334
Sn: 0.211 0.789 0.000
Sn: 0.258 0.258 0.951
Sn: 0.457 0.875 0.666
Sn: 0.543 0.125 0.334
Sn: 0.742 0.742 0.049
Sn: 0.789 0.211 0.000
Sn: 0.875 0.457 0.666
Sn: 0.920 0.920 0.653
Bi: 0.384 0.384 0.683
Bi: 0.616 0.616 0.317
Pd: 0.133 0.133 0.641
Pd: 0.172 0.172 0.153
Pd: 0.500 0.500 0.000
Pd: 0.500 0.500 0.500
Pd: 0.828 0.828 0.847
Pd: 0.867 0.867 0.359

***

[6]
The following is a PBE-GGA calculation of crystalline K2ZrMo at its relaxed geometry, from Alexandria.

Properties
* formation energy from the elements: 4.17 eV/f.u.
* N(E_F): 6.626 states/eV/cell
* excess energy over the best structure of this formula in the dataset: 344 meV per atom
* uncorrected energy: -4.3511 eV/atom

Lattice parameters (Å, degrees): 3.178 6.814 12.791 90.00 90.00 90.00
Element x y z (fractional)
K: 0.000 0.000 0.000
K: 0.000 0.500 0.204
K: 0.500 0.000 0.704
K: 0.500 0.500 0.500
Zr: 0.000 0.000 0.403
Zr: 0.500 0.500 0.903
Mo: 0.000 0.500 0.752
Mo: 0.500 0.000 0.252

***

no.,total magnetic moment (μB/f.u.)
1,0.925
2,1.000
3,0.000
4,0.130
5,0.000
6,0.320